Entry 1:
Density functional theory data (PBE-GGA) for a relaxed structure of ZnAg2O4.

The structure belongs to space group I4_1/amd (No. 141, origin choice 2); the cell edges are 5.902, 5.902 and 11.223 Å and the angles 90.00°, 90.00° and 90.00°. The distinct sites, in fractional coordinates, are Zn at (0.000, 0.250, 0.375), Ag at (0.000, 0.000, 0.000) and O at (0.000, 0.011, 0.737).

The value obtained for the energy relative to the lowest polymorph listed for this composition is 0.0 meV/atom. The calculation puts the uncorrected formation energy at -0.303 eV per atom.

=====

Entry 2:
Density functional theory data (PBE-GGA) for a relaxed structure of VZn2Pt.

The structure belongs to space group P4/mmm (No. 123); the cell edges are 3.860, 3.860 and 3.952 Å and the angles 90.00°, 90.00° and 90.00°. The distinct sites, in fractional coordinates, are V at (0.000, 0.000, 0.000), Zn at (0.000, 0.500, 0.500) and Pt at (0.500, 0.500, 0.000).

The value obtained for the energy relative to the lowest polymorph listed for this composition is 21.2 meV/atom. The calculation puts the formation energy at -19.7 kJ/mol of atoms.

=====

Entry 3:
Density functional theory data (PBE-GGA) for a relaxed structure of ZnTeSe2.

The structure belongs to space group R-3m (No. 166, hexagonal axes); the cell edges are 3.8000, 3.8000 and 24.7481 Å and the angles 90.00°, 90.00° and 120.00°. The distinct sites, in fractional coordinates, are Zn at (0.0000, 0.0000, 0.0000), Te at (0.0000, 0.0000, 0.5000) and Se at (0.0000, 0.0000, 0.3911).

The value obtained for the energy relative to the lowest polymorph listed for this composition is 0.0 meV/atom. The calculation puts the uncorrected formation energy at -0.125 eV per atom.

=====

Entry 4:
Density functional theory data (PBE-GGA) for a relaxed structure of ZrZnBr.

The structure belongs to space group I4mm (No. 107); the cell edges are 3.245, 3.245 and 14.350 Å and the angles 90.00°, 90.00° and 90.00°. The distinct sites, in fractional coordinates, are Zr at (0.000, 0.000, 0.000), Zn at (0.000, 0.000, 0.625) and Br at (0.000, 0.000, 0.377).

The value obtained for the energy relative to the lowest polymorph listed for this composition is 96.0 meV/atom. The calculation puts the uncorrected formation energy at -0.325 eV per atom.

=====

Entry 5:
Density functional theory data (PBE-GGA) for a relaxed structure of LiCdN.

The structure belongs to space group C2/m (No. 12); the cell edges are 17.197, 4.156 and 6.448 Å and the angles 90.00°, 108.05° and 90.00°. The distinct sites, in fractional coordinates, are Li at (0.057, 0.000, 0.113), Li at (0.157, 0.000, 0.973), Cd at (0.085, 0.000, 0.517), Cd at (0.217, 0.500, 0.323), N at (0.041, 0.000, 0.791) and N at (0.173, 0.000, 0.311).

The calculation puts the uncorrected formation energy at 0.347 eV per atom.

=====

Entry 6:
Density functional theory data (PBE-GGA) for a relaxed structure of CaLaI.

The structure belongs to space group Amm2 (No. 38); the cell edges are 15.840, 4.018 and 6.950 Å and the angles 90.00°, 90.00° and 90.00°. The distinct sites, in fractional coordinates, are Ca at (0.000, 0.000, 0.000), Ca at (0.500, 0.000, 0.002), La at (0.307, 0.000, 0.667) and I at (0.148, 0.000, 0.333).

The value obtained for the energy relative to the lowest polymorph listed for this composition is 69.2 meV/atom. The calculation puts the uncorrected formation energy at -0.578 eV per atom.

=====

Entry 7:
Density functional theory data (PBE-GGA) for a relaxed structure of Ni2BiPb2.

The structure belongs to space group I4/mmm (No. 139); the cell edges are 4.424, 4.424 and 11.517 Å and the angles 90.00°, 90.00° and 90.00°. The distinct sites, in fractional coordinates, are Ni at (0.000, 0.000, 0.103), Bi at (0.000, 0.000, 0.500) and Pb at (0.000, 0.500, 0.250).

The value obtained for the energy relative to the lowest polymorph listed for this composition is 172.3 meV/atom. The calculation puts the formation energy at 35.7 kJ/mol of atoms.

=====

Entry 8:
Density functional theory data (PBE-GGA) for a relaxed structure of Li3Mg4Pt.

The structure belongs to space group Pmma (No. 51); the cell edges are 9.172, 6.957 and 4.590 Å and the angles 90.00°, 90.00° and 90.00°. The distinct sites, in fractional coordinates, are Li at (0.000, 0.000, 0.000), Li at (0.250, 0.000, 0.499), Li at (0.250, 0.500, 0.499), Mg at (0.000, 0.273, 0.500), Mg at (0.250, 0.273, 0.999) and Pt at (0.000, 0.500, 0.000).

The calculation puts the formation energy at -31.3 kJ/mol of atoms.

=====

Entry 9:
Density functional theory data (PBE-GGA) for a relaxed structure of SrNb2HgAu.

The structure belongs to space group P4/mmm (No. 123); the cell edges are 5.189, 5.189 and 5.321 Å and the angles 90.00°, 90.00° and 90.00°. The distinct sites, in fractional coordinates, are Sr at (0.000, 0.000, 0.000), Nb at (0.000, 0.500, 0.500), Hg at (0.500, 0.500, 0.000) and Au at (0.500, 0.500, 0.500).

The calculation puts the formation energy at 96.6 kJ/mol of atoms.

=====

Entry 10:
Density functional theory data (PBE-GGA) for a relaxed structure of Cr2AgP.

The structure belongs to space group P2/m (No. 10); the cell edges are 3.029, 3.304 and 5.676 Å and the angles 90.00°, 98.80° and 90.00°. The distinct sites, in fractional coordinates, are Cr at (0.075, 0.000, 0.323), Ag at (0.500, 0.500, 0.000) and P at (0.500, 0.500, 0.500).

The calculation puts the formation energy at 19.0 kJ/mol of atoms.

=====

Entry 11:
Density functional theory data (PBE-GGA) for a relaxed structure of Sr2MgRhO5.

The structure belongs to space group Cmc2_1 (No. 36); the cell edges are 3.349, 14.164 and 10.047 Å and the angles 90.00°, 90.00° and 90.00°. The distinct sites, in fractional coordinates, are Sr at (0.000, 0.118, 0.000), Sr at (0.000, 0.126, 0.578), Mg at (0.000, 0.482, 0.768), Rh at (0.000, 0.221, 0.298), O at (0.000, 0.077, 0.321), O at (0.000, 0.281, 0.923), O at (0.000, 0.289, 0.675), O at (0.000, 0.369, 0.295) and O at (0.000, 0.497, 0.572).

The calculation puts the uncorrected formation energy at -2.046 eV per atom.

=====

Entry 12:
Density functional theory data (PBE-GGA) for a relaxed structure of Pr2ZnCu4Ge3.

The structure belongs to space group P-4m2 (No. 115); the cell edges are 4.194, 4.194 and 10.204 Å and the angles 90.00°, 90.00° and 90.00°. The distinct sites, in fractional coordinates, are Pr at (0.000, 0.500, 0.244), Zn at (0.000, 0.000, 0.500), Cu at (0.000, 0.000, 0.000), Cu at (0.000, 0.500, 0.631), Cu at (0.500, 0.500, 0.000), Ge at (0.000, 0.500, 0.868) and Ge at (0.500, 0.500, 0.500).

The calculation puts the formation energy at -46.7 kJ/mol of atoms.

=====

Entry 13:
Density functional theory data (PBE-GGA) for a relaxed structure of Ba2RuCl.

The structure belongs to space group F-43m (No. 216); the cell edges are 7.758, 7.758 and 7.758 Å and the angles 90.00°, 90.00° and 90.00°. The distinct sites, in fractional coordinates, are Ba at (0.000, 0.000, 0.000), Ba at (0.250, 0.250, 0.250), Ru at (0.250, 0.250, 0.750) and Cl at (0.000, 0.000, 0.500).

The value obtained for the energy relative to the lowest polymorph listed for this composition is 782.7 meV/atom. The calculation puts the uncorrected formation energy at 0.256 eV per atom.

=====

Entry 14:
Density functional theory data (PBE-GGA) for a relaxed structure of RbHg3Pt.

The structure belongs to space group C2/c (No. 15); the cell edges are 13.615, 13.076 and 6.298 Å and the angles 90.00°, 90.63° and 90.00°. The distinct sites, in fractional coordinates, are Rb at (0.131, 0.096, 0.243), Hg at (0.119, 0.362, 0.999), Hg at (0.120, 0.365, 0.501), Hg at (0.199, 0.177, 0.745), Pt at (0.000, 0.200, 0.750) and Pt at (0.000, 0.499, 0.750).

The value obtained for the energy relative to the lowest polymorph listed for this composition is 219.8 meV/atom. The calculation puts the formation energy at -6.0 kJ/mol of atoms.

=====

Entry 15:
Density functional theory data (PBE-GGA) for a relaxed structure of Dy7Ho4Er2.

The structure belongs to space group P-31m (No. 162); the cell edges are 6.0270, 6.0270 and 13.0871 Å and the angles 90.00°, 90.00° and 120.00°. The distinct sites, in fractional coordinates, are Dy at (0.0000, 0.0000, 0.0000), Dy at (0.0000, 0.3593, 0.2165), Ho at (0.0000, 0.0000, 0.3930), Ho at (0.3333, 0.6667, 0.5000) and Er at (0.3333, 0.6667, 0.0000).

The calculation puts the formation energy at 16.6 kJ/mol of atoms.

=====

Entry 16:
Density functional theory data (PBE-GGA) for a relaxed structure of Sr3HfRu.

The structure belongs to space group Pm-3m (No. 221); the cell edges are 5.642, 5.642 and 5.642 Å and the angles 90.00°, 90.00° and 90.00°. The distinct sites, in fractional coordinates, are Sr at (0.000, 0.000, 0.500), Hf at (0.500, 0.500, 0.500) and Ru at (0.000, 0.000, 0.000).

The value obtained for the energy relative to the lowest polymorph listed for this composition is 0.0 meV/atom. The calculation puts the formation energy at 85.7 kJ/mol of atoms.

=====

Entry 17:
Density functional theory data (PBE-GGA) for a relaxed structure of CaNiRh2.

The structure belongs to space group I4/mmm (No. 139); the cell edges are 4.039, 4.039 and 7.814 Å and the angles 90.00°, 90.00° and 90.00°. The distinct sites, in fractional coordinates, are Ca at (0.000, 0.000, 0.000), Ni at (0.000, 0.000, 0.500) and Rh at (0.000, 0.500, 0.250).

The value obtained for the energy relative to the lowest polymorph listed for this composition is 78.2 meV/atom. The calculation puts the formation energy at 7.9 kJ/mol of atoms.

=====

Entry 18:
Density functional theory data (PBE-GGA) for a relaxed structure of YV3Ir.

The structure belongs to space group Pm-3m (No. 221); the cell edges are 4.719, 4.719 and 4.719 Å and the angles 90.00°, 90.00° and 90.00°. The distinct sites, in fractional coordinates, are Y at (0.000, 0.000, 0.000), V at (0.000, 0.500, 0.500) and Ir at (0.500, 0.500, 0.500).

The value obtained for the energy relative to the lowest polymorph listed for this composition is 0.0 meV/atom. The calculation puts the formation energy at 51.2 kJ/mol of atoms.

=====

Entry 19:
Density functional theory data (PBE-GGA) for a relaxed structure of RbAg2BPb.

The structure belongs to space group P4/mmm (No. 123); the cell edges are 4.803, 4.803 and 5.130 Å and the angles 90.00°, 90.00° and 90.00°. The distinct sites, in fractional coordinates, are Rb at (0.000, 0.000, 0.000), Ag at (0.000, 0.500, 0.500), B at (0.500, 0.500, 0.500) and Pb at (0.500, 0.500, 0.000).

The calculation puts the formation energy at 47.3 kJ/mol of atoms.

=====

Entry 20:
Density functional theory data (PBE-GGA) for a relaxed structure of K2SiP2.

The structure belongs to space group C2/m (No. 12); the cell edges are 14.694, 6.324 and 10.479 Å and the angles 90.00°, 132.77° and 90.00°. The distinct sites, in fractional coordinates, are K at (0.083, 0.000, 0.304), K at (0.186, 0.500, 0.050), Si at (0.125, 0.500, 0.655), P at (0.044, 0.500, 0.383) and P at (0.187, 0.000, 0.114).

The value obtained for the energy relative to the lowest polymorph listed for this composition is 127.2 meV/atom. The calculation puts the uncorrected formation energy at -0.363 eV per atom.

=====

Entry 21:
Density functional theory data (PBE-GGA) for a relaxed structure of YBr2.

The structure belongs to space group Fm-3m (No. 225); the cell edges are 7.049, 7.049 and 7.049 Å and the angles 90.00°, 90.00° and 90.00°. The distinct sites, in fractional coordinates, are Y at (0.000, 0.000, 0.000) and Br at (0.250, 0.250, 0.250).

The calculation puts the uncorrected formation energy at -1.352 eV per atom.

=====

Entry 22:
Density functional theory data (PBE-GGA) for a relaxed structure of TbLuSnPt.

The structure belongs to space group F-43m (No. 216); the cell edges are 7.226, 7.226 and 7.226 Å and the angles 90.00°, 90.00° and 90.00°. The distinct sites, in fractional coordinates, are Tb at (0.000, 0.000, 0.000), Lu at (0.000, 0.000, 0.500), Sn at (0.250, 0.250, 0.750) and Pt at (0.250, 0.250, 0.250).

The calculation puts the formation energy at -82.4 kJ/mol of atoms.

=====

Entry 23:
Density functional theory data (PBE-GGA) for a relaxed structure of NaMgTeO4.

The structure belongs to space group Cmcm (No. 63); the cell edges are 6.391, 9.746 and 6.865 Å and the angles 90.00°, 90.00° and 90.00°. The distinct sites, in fractional coordinates, are Na at (0.000, 0.000, 0.000), Mg at (0.000, 0.359, 0.250), Te at (0.000, 0.343, 0.750), O at (0.000, 0.254, 0.006) and O at (0.211, 0.484, 0.750).

The calculation puts the uncorrected formation energy at -1.491 eV per atom.

=====

Entry 24:
Density functional theory data (PBE-GGA) for a relaxed structure of Ca2La2Sb2N.

The structure belongs to space group I4/mmm (No. 139); the cell edges are 4.812, 4.812 and 16.570 Å and the angles 90.00°, 90.00° and 90.00°. The distinct sites, in fractional coordinates, are Ca at (0.000, 0.500, 0.000), La at (0.000, 0.000, 0.157), Sb at (0.000, 0.000, 0.361) and N at (0.000, 0.000, 0.000).

The calculation puts the uncorrected formation energy at -1.180 eV per atom.

=====

Entry 25:
Density functional theory data (PBE-GGA) for a relaxed structure of TlOsS2N.

The structure belongs to space group P4/mmm (No. 123); the cell edges are 4.971, 4.971 and 3.725 Å and the angles 90.00°, 90.00° and 90.00°. The distinct sites, in fractional coordinates, are Tl at (0.000, 0.000, 0.000), Os at (0.500, 0.500, 0.500), S at (0.000, 0.500, 0.500) and N at (0.500, 0.500, 0.000).

The value obtained for the energy relative to the lowest polymorph listed for this composition is 0.0 meV/atom. The calculation puts the uncorrected formation energy at 0.285 eV per atom.